# In4BrCl5 (PBE, optimized geometry)
# Uncorrected formation energy, kcal/mol of atoms: -18.7
# Symmetry: Pmmn (59)
# Total DFT energy (no corrections), eV/atom: -2.999
data_In4BrCl5
_symmetry_space_group_name_H-M 'P 1'
_symmetry_Int_Tables_number 1
_cell_length_a 9.3431
_cell_length_b 10.3494
_cell_length_c 6.8601
_cell_angle_alpha 90.00
_cell_angle_beta 90.00
_cell_angle_gamma 90.00
loop_
_symmetry_equiv_pos_as_xyz
'x,y,z'
loop_
_atom_site_label
_atom_site_type_symbol
_atom_site_fract_x
_atom_site_fract_y
_atom_site_fract_z
_atom_site_occupancy
In1 In 0.0480 0.2500 0.0181 1
In2 In 0.2500 0.5025 0.5136 1
In3 In 0.2500 0.9975 0.5136 1
In4 In 0.4520 0.2500 0.0181 1
In5 In 0.5480 0.7500 0.9819 1
In6 In 0.7500 0.0025 0.4864 1
In7 In 0.7500 0.4975 0.4864 1
In8 In 0.9520 0.7500 0.9819 1
Br1 Br 0.2500 0.7500 0.6846 1
Br2 Br 0.7500 0.2500 0.3154 1
Cl1 Cl 0.0537 0.5355 0.2459 1
Cl2 Cl 0.0537 0.9645 0.2459 1
Cl3 Cl 0.2500 0.2500 0.5572 1
Cl4 Cl 0.4463 0.5355 0.2459 1
Cl5 Cl 0.4463 0.9645 0.2459 1
Cl6 Cl 0.5537 0.0355 0.7541 1
Cl7 Cl 0.5537 0.4645 0.7541 1
Cl8 Cl 0.7500 0.7500 0.4428 1
Cl9 Cl 0.9463 0.0355 0.7541 1
Cl10 Cl 0.9463 0.4645 0.7541 1

***

# AcNd5Tm6 (PBE, optimized geometry)
# Symmetry: Immm (71)
# Total DFT energy (no corrections), eV/atom: -4.533
# Energy of formation from the pure elements, eV/atom: 0.0315
data_AcNd5Tm6
_symmetry_space_group_name_H-M 'P 1'
_symmetry_Int_Tables_number 1
_cell_length_a 9.5627
_cell_length_b 9.5627
_cell_length_c 9.5627
_cell_angle_alpha 148.68
_cell_angle_beta 117.03
_cell_angle_gamma 72.02
loop_
_symmetry_equiv_pos_as_xyz
'x,y,z'
loop_
_atom_site_label
_atom_site_type_symbol
_atom_site_fract_x
_atom_site_fract_y
_atom_site_fract_z
_atom_site_occupancy
Ac1 Ac 0.0000 0.0000 0.0000 1
Nd1 Nd 0.1696 0.6696 0.5000 1
Nd2 Nd 0.3330 0.3330 0.0000 1
Nd3 Nd 0.5000 0.0000 0.5000 1
Nd4 Nd 0.6670 0.6670 0.0000 1
Nd5 Nd 0.8304 0.3304 0.5000 1
Tm1 Tm 0.0845 0.8321 0.2524 1
Tm2 Tm 0.2553 0.5000 0.7553 1
Tm3 Tm 0.4203 0.1679 0.2524 1
Tm4 Tm 0.5797 0.8321 0.7476 1
Tm5 Tm 0.7447 0.5000 0.2447 1
Tm6 Tm 0.9155 0.1679 0.7476 1

***

Which of these has the lowest total DFT energy (no corrections)? AcNd5Tm6

***

What is the total DFT energy (no corrections) in the first record? -2.999 eV/atom

***

What is the total DFT energy (no corrections) in the first record? -2.999 eV/atom